# 1
The following is a DFT calculation (GGA-PBE) of an optimized crystal structure of Zr2VCr2.

The structure belongs to space group P4/mbm (No. 127); the cell edges are 6.098, 6.098 and 4.549 Å and the angles 90.00°, 90.00° and 90.00°. Symmetry generates all atoms from Zr at (0.178, 0.322, 0.000), V at (0.000, 0.000, 0.500) and Cr at (0.130, 0.630, 0.500).

The total energy comes out at -8.853 eV/atom. The formation enthalpy at 0 K is 23.1 kJ per mole of atoms.



# 2
The following is a DFT calculation (GGA-PBE) of an optimized crystal structure of ZrV3Cr.

The structure belongs to space group Pm-3m (No. 221); the cell edges are 4.660, 4.660 and 4.660 Å and the angles 90.00°, 90.00° and 90.00°. Symmetry generates all atoms from Zr at (0.000, 0.000, 0.000), V at (0.000, 0.000, 0.500) and Cr at (0.500, 0.500, 0.500).

The polymorph energy (0 for the lowest one) comes out at 1.192 eV per atom. The total energy comes out at -7.335 eV/atom. The formation enthalpy at 0 K is 170.8 kJ per mole of atoms.



# 3
The following is a DFT calculation (GGA-PBE) of an optimized crystal structure of CrW2.

The structure belongs to space group Fmmm (No. 69); the cell edges are 3.121, 4.414 and 12.931 Å and the angles 90.00°, 90.00° and 90.00°. Symmetry generates all atoms from Cr at (0.000, 0.000, 0.000) and W at (0.000, 0.000, 0.339).

The polymorph energy (0 for the lowest one) comes out at 0.029 eV per atom. The total energy comes out at -11.760 eV/atom. The formation enthalpy at 0 K is 8.0 kJ per mole of atoms.



# 4
The following is a DFT calculation (GGA-PBE) of an optimized crystal structure of CrW8.

The structure belongs to space group I4/mmm (No. 139); the cell edges are 7.991, 7.991 and 4.528 Å and the angles 90.00°, 90.00° and 90.00°. Symmetry generates all atoms from Cr at (0.000, 0.000, 0.000), W at (0.000, 0.326, 0.000) and W at (0.164, 0.164, 0.500).

The polymorph energy (0 for the lowest one) comes out at 0.350 eV per atom. The total energy comes out at -12.207 eV/atom. The formation enthalpy at 0 K is 36.3 kJ per mole of atoms.



- Which of these has the highest formation enthalpy at 0 K?
  ZrV3Cr



- formation enthalpy at 0 K of number 2 (ZrV3Cr)?
  170.8 kJ per mole of atoms